The following is a DFT calculation (PBE+U) of Mn2ZnBr2O2 after structural relaxation.

Calculated density, Mg/m³: 4.8
Uncorrected energy, eV for the cell shown: -38.0

Cell: 3.690 6.397 6.617 Å, 59.10 73.81 73.24°
Sites, in units of the cell vectors:
Br 0.398 0.805 0.399
Mn 0.757 0.688 0.798
O 0.838 0.299 0.025
Zn 0.000 0.000 0.000
O 0.162 0.701 0.975
Br 0.602 0.195 0.601
Mn 0.243 0.312 0.202